1.
The following is a GGA-PBE calculation of a geometry-optimized CuPAu2 structure, from Alexandria via LeMat-Bulk.

The space group is Pm (No. 6) and the conventional cell measures 2.9289, 4.0790 and 5.5117 Å, with angles of 90.00, 90.08 and 90.00 degrees. Symmetry generates all atoms from Cu at (0.0000, 0.0000, 0.0000), P at (0.9998, 0.5000, 0.7833), Au at (0.0004, 0.0000, 0.4999) and Au at (0.5003, 0.5000, 0.2080).

The calculation puts the total energy at -15.40 eV for the cell shown. Its mass density is 12318 kg/m³.

---

2.
The following is a GGA-PBE calculation of a geometry-optimized CuP2Au structure, from Alexandria via LeMat-Bulk.

The space group is P4mm (No. 99) and the conventional cell measures 3.0646, 3.0646 and 7.0295 Å, with angles of 90.00, 90.00 and 90.00 degrees. Symmetry generates all atoms from Cu at (0.0000, 0.0000, 0.0000), P at (0.0000, 0.0000, 0.3535), P at (0.5000, 0.5000, 0.2181) and Au at (0.5000, 0.5000, 0.7661).

The calculation puts the total energy at -16.90 eV for the cell shown. Its mass density is 8111 kg/m³.

---

3.
The following is a GGA-PBE calculation of a geometry-optimized RbCuPAu structure, from Alexandria via LeMat-Bulk.

The space group is Imm2 (No. 44) and the conventional cell measures 4.3166, 4.5663 and 11.5545 Å, with angles of 90.00, 90.00 and 90.00 degrees. Symmetry generates all atoms from Rb at (0.0000, 0.0000, 0.0000), Cu at (0.0000, 0.0000, 0.7052), P at (0.0000, 0.5000, 0.2462) and Au at (0.0000, 0.0000, 0.3043).

The calculation puts the total energy at -29.37 eV for the cell shown. Its mass density is 5497 kg/m³.

---

4.
The following is a GGA-PBE calculation of a geometry-optimized CuPAuS2 structure, from Alexandria via LeMat-Bulk.

The space group is P4/mmm (No. 123) and the conventional cell measures 4.5890, 4.5890 and 4.4459 Å, with angles of 90.00, 90.00 and 90.00 degrees. Symmetry generates all atoms from Cu at (0.0000, 0.0000, 0.0000), P at (0.0000, 0.0000, 0.5000), Au at (0.5000, 0.5000, 0.5000) and S at (0.0000, 0.5000, 0.0000).

Its mass density is 6307 kg/m³. The formation energy from raw total energies comes out at 417.6 kJ/mol of formula units.

---

5.
The following is a GGA-PBE calculation of a geometry-optimized Cu2PAuS4 structure, from Alexandria via LeMat-Bulk.

The space group is Fmm2 (No. 42) and the conventional cell measures 7.7218, 7.7254 and 10.0616 Å, with angles of 90.00, 90.00 and 90.00 degrees. Symmetry generates all atoms from Cu at (0.2500, 0.2500, 0.0000), P at (0.0000, 0.0000, 0.2498), Au at (0.0000, 0.0000, 0.7513), S at (0.0000, 0.2176, 0.1239) and S at (0.2173, 0.0000, 0.3763).

Its mass density is 5348 kg/m³. The formation energy from raw total energies comes out at -128.6 kJ/mol of formula units.

---

6.
The following is a GGA-PBE calculation of a geometry-optimized CuPAuS2 structure, from Alexandria via LeMat-Bulk.

The space group is P4/mmm (No. 123) and the conventional cell measures 4.9921, 4.9921 and 4.6004 Å, with angles of 90.00, 90.00 and 90.00 degrees. Symmetry generates all atoms from Cu at (0.0000, 0.0000, 0.0000), P at (0.5000, 0.5000, 0.0000), Au at (0.5000, 0.5000, 0.5000) and S at (0.0000, 0.5000, 0.5000).

Its mass density is 5151 kg/m³. The formation energy from raw total energies comes out at 552.2 kJ/mol of formula units.

---

7.
The following is a GGA-PBE calculation of a geometry-optimized CuPAu2Se4 structure, from Alexandria via LeMat-Bulk.

The space group is P1 (No. 1) and the conventional cell measures 5.8815, 5.8873 and 6.9029 Å, with angles of 64.77, 64.79 and 89.97 degrees. Symmetry generates all atoms from Cu at (0.0000, 0.0000, 0.0000), P at (0.2476, 0.7474, 0.5037), Au at (0.4938, 0.4931, 0.0117), Au at (0.7471, 0.2464, 0.5063), Se at (0.1290, 0.6590, 0.2584), Se at (0.3384, 0.3864, 0.7496), Se at (0.6114, 0.0809, 0.2591) and Se at (0.9110, 0.8622, 0.7501).

Its mass density is 7000 kg/m³. The formation energy from raw total energies comes out at -6.7 kJ/mol of formula units.

---

8.
The following is a GGA-PBE calculation of a geometry-optimized PaCu5Au7 structure, from Alexandria via LeMat-Bulk.

The space group is Imm2 (No. 44) and the conventional cell measures 5.2158, 9.1077 and 9.1540 Å, with angles of 90.00, 90.00 and 90.00 degrees. Symmetry generates all atoms from Pa at (0.0000, 0.0000, 0.0000), Cu at (0.0000, 0.5000, 0.2627), Cu at (0.2479, 0.2544, 0.2405), Au at (0.0000, 0.0000, 0.3402), Au at (0.0000, 0.0000, 0.6671), Au at (0.0000, 0.3013, 0.4858), Au at (0.0000, 0.3393, 0.9951) and Au at (0.0000, 0.5000, 0.7176).

The calculation puts the total energy at -109.60 eV for the cell shown. Its mass density is 14721 kg/m³.

---

9.
The following is a GGA-PBE calculation of a geometry-optimized Pa3Cu4Au2 structure, from Alexandria via LeMat-Bulk.

The space group is C2/m (No. 12) and the conventional cell measures 10.1145, 4.5518 and 8.4828 Å, with angles of 90.00, 119.95 and 90.00 degrees. Symmetry generates all atoms from Pa at (0.0000, 0.0000, 0.0000), Pa at (0.1628, 0.5000, 0.6718), Cu at (0.0546, 0.0000, 0.3956), Cu at (0.2296, 0.5000, 0.0527) and Au at (0.1170, 0.5000, 0.2803).

The calculation puts the total energy at -106.59 eV for the cell shown. Its mass density is 13163 kg/m³.

---

10.
The following is a GGA-PBE calculation of a geometry-optimized PaCu8Au3 structure, from Alexandria via LeMat-Bulk.

The space group is P3m1 (No. 156) and the conventional cell measures 5.0129, 5.0129 and 8.1223 Å, with angles of 90.00, 90.00 and 120.00 degrees. Symmetry generates all atoms from Pa at (0.0000, 0.0000, 0.0000), Cu at (0.1647, 0.3294, 0.6839), Cu at (0.3333, 0.6667, 0.4375), Cu at (0.3333, 0.6667, 0.9376), Cu at (0.5027, 0.0054, 0.1964), Au at (0.0000, 0.0000, 0.3776), Au at (0.6667, 0.3333, 0.5004) and Au at (0.6667, 0.3333, 0.8715).

The calculation puts the total energy at -52.85 eV for the cell shown. Its mass density is 12497 kg/m³.

---

11.
The following is a GGA-PBE calculation of a geometry-optimized PaCu6Au structure, from Alexandria via LeMat-Bulk.

The space group is Pm-3 (No. 200) and the conventional cell measures 4.9643, 4.9643 and 4.9643 Å, with angles of 90.00, 90.00 and 90.00 degrees. Symmetry generates all atoms from Pa at (0.0000, 0.0000, 0.0000), Cu at (0.0000, 0.5000, 0.2556) and Au at (0.5000, 0.5000, 0.5000).

The calculation puts the total energy at -35.88 eV for the cell shown. Its mass density is 10984 kg/m³.

---

12.
The following is a GGA-PBE calculation of a geometry-optimized PaCu2Au2 structure, from Alexandria via LeMat-Bulk.

The space group is C2/m (No. 12) and the conventional cell measures 9.0046, 4.5531 and 5.0111 Å, with angles of 90.00, 115.33 and 90.00 degrees. Symmetry generates all atoms from Pa at (0.0000, 0.0000, 0.0000), Cu at (0.2364, 0.5000, 0.3595) and Au at (0.1302, 0.5000, 0.7772).

The calculation puts the total energy at -49.85 eV for the cell shown. Its mass density is 13450 kg/m³.